Below is crystalline GdErFeRu at its relaxed geometry, with properties calculated at the PBE level. Values from VASP.

```
&SYSTEM
  ibrav = 0, nat = 4, ntyp = 4
/
ATOMIC_SPECIES
Ru 101.07 Ru.upf
Fe 55.84 Fe.upf
Gd 157.25 Gd.upf
Er 167.26 Er.upf
ATOMIC_POSITIONS angstrom
Ru -6.2828 -0.8365 6.1702
Fe -2.0943 -0.2788 2.0567
Gd -4.1885 -0.5576 4.1135
Er 0.0000 0.0000 0.0000
CELL_PARAMETERS angstrom
-4.3584 -1.8112 0.9525
-0.9932 -1.6990 4.3944
-3.0255 2.3949 2.8800
```

## Properties
For the energy of formation, the calculation gives -0.06 eV per atom.

***

Below is crystalline CdHgBr2 at its relaxed geometry, with properties calculated at the PBE level. Values from VASP.

```
&SYSTEM
  ibrav = 0, nat = 4, ntyp = 3
/
ATOMIC_SPECIES
Hg 200.59 Hg.upf
Br 79.90 Br.upf
Cd 112.41 Cd.upf
ATOMIC_POSITIONS angstrom
Hg 1.7775 1.7778 7.4088
Br 0.0000 0.0000 0.7786
Br 0.0000 0.0000 4.1606
Cd 1.7775 1.7778 2.4696
CELL_PARAMETERS angstrom
3.5551 0.0000 0.0000
0.0000 3.5557 0.0000
0.0000 0.0000 9.8784
```

## Properties
For the energy relative to the elements, uncorrected, the calculation gives -1.45 eV/f.u. The distance to the lowest polymorph of the same formula is 1.03 eV per formula unit.

***

Below is crystalline Hf4Zr2Cd5 at its relaxed geometry, with properties calculated at the PBE level. Values from VASP.

```
&SYSTEM
  ibrav = 0, nat = 11, ntyp = 3
/
ATOMIC_SPECIES
Cd 112.41 Cd.upf
Hf 178.49 Hf.upf
Zr 91.22 Zr.upf
ATOMIC_POSITIONS angstrom
Cd 1.6707 6.9944 7.2432
Cd 1.6016 6.2477 4.3200
Cd 1.4948 -0.4373 0.1043
Cd 1.6683 0.4743 2.8429
Cd 1.7373 1.2211 5.7662
Hf 0.8702 3.4517 3.7390
Hf 0.8369 2.8158 0.7902
Hf 2.4688 4.0171 6.3471
Hf 2.5020 4.6529 9.2959
Zr 0.0293 5.6945 1.6469
Zr 3.3097 1.7743 8.4393
CELL_PARAMETERS angstrom
2.9896 -0.8747 0.2085
-2.2406 8.5175 -0.7316
2.5899 -0.1740 10.6092
```

## Properties
For the energy of formation, the calculation gives -0.04 eV per atom.

***

Below is crystalline CdTc2Cl at its relaxed geometry, with properties calculated at the PBE level. Values from VASP.

```
&SYSTEM
  ibrav = 0, nat = 4, ntyp = 3
/
ATOMIC_SPECIES
Tc 98.00 Tc.upf
Cd 112.41 Cd.upf
Cl 35.45 Cl.upf
ATOMIC_POSITIONS angstrom
Tc -19.3321 -13.4729 -16.8249
Tc -5.0750 -3.5369 -4.4168
Cd -9.8711 -6.8793 -8.5909
Cl -14.1423 -9.8560 -12.3082
CELL_PARAMETERS angstrom
-6.0126 -3.5191 -6.9133
-5.6628 -5.9612 -5.3596
-7.6928 -4.0177 -4.5834
```

## Properties
For the energy relative to the elements, uncorrected, the calculation gives 0.44 eV/f.u. The distance to the lowest polymorph of the same formula is 0.49 eV per formula unit.

***

Below is crystalline K6AgHg2 at its relaxed geometry, with properties calculated at the PBE level. Values from VASP.

```
&SYSTEM
  ibrav = 0, nat = 18, ntyp = 3
/
ATOMIC_SPECIES
Hg 200.59 Hg.upf
Ag 107.87 Ag.upf
K 39.10 K.upf
ATOMIC_POSITIONS angstrom
Hg -2.5140 -11.4214 3.7516
Hg 5.0820 -7.0610 4.0551
Hg -2.1389 -6.6586 4.9846
Hg -4.2836 -6.9378 2.6974
Ag 0.9198 -6.0986 -0.1179
Ag 0.0000 0.0000 0.0000
K -1.1355 -8.5756 2.1117
K 1.9957 -2.8267 1.5829
K 1.5409 -6.0930 4.4365
K 3.7035 -9.9068 5.6951
K -0.3542 -9.5128 6.3426
K -2.8172 -13.0405 7.0545
K 4.3297 -14.0587 5.6148
K 5.3852 -5.4419 0.7523
K -1.7617 -4.4238 2.1919
K 0.5723 -15.6557 6.2238
K 2.9222 -8.9697 1.4642
K 1.0271 -12.3894 3.3703
CELL_PARAMETERS angstrom
-7.1509 -7.3111 -0.3605
8.9905 -4.8860 0.1247
0.7284 -6.2852 8.0426
```

## Properties
For the energy of formation, the calculation gives -0.09 eV per atom.

***

Below is crystalline Hf3AlCo at its relaxed geometry, with properties calculated at the PBE level. Values from VASP.

```
&SYSTEM
  ibrav = 0, nat = 20, ntyp = 3
/
ATOMIC_SPECIES
Hf 178.49 Hf.upf
Co 58.93 Co.upf
Al 26.98 Al.upf
ATOMIC_POSITIONS angstrom
Hf 4.4026 3.6385 0.4768
Hf 1.6366 -0.9165 3.4305
Hf 3.8953 6.3605 4.3842
Hf 2.3506 3.9376 5.3594
Hf 1.1293 1.8054 7.3379
Hf 0.4154 1.2157 1.4521
Hf 3.1814 1.5063 2.4553
Hf 3.6174 0.8070 5.6686
Hf 5.1165 4.2283 6.3627
Hf 4.6805 6.6738 1.3884
Hf 1.9145 4.6370 2.1461
Hf 0.8515 -1.2298 6.4264
Co 0.8153 5.5503 4.2260
Co 3.5813 2.6156 7.4962
Co 4.7166 -0.1064 3.5888
Co 1.9506 2.8283 0.3186
Al 3.5588 -2.0682 7.6373
Al 4.7391 3.7986 3.3571
Al 1.9731 7.5121 0.1774
Al 0.7929 1.6453 4.4577
CELL_PARAMETERS angstrom
5.5319 0.0000 0.0000
0.0000 8.5888 -0.3729
0.0000 -3.1448 8.1876
```

## Properties
The distance to the lowest polymorph of the same formula is 0.00 eV per formula unit. For the energy of formation, the calculation gives -0.19 eV per atom.

***

Below is crystalline LiAcCuSb at its relaxed geometry, with properties calculated at the PBE level. Values from VASP.

```
&SYSTEM
  ibrav = 0, nat = 4, ntyp = 4
/
ATOMIC_SPECIES
Ac 227.00 Ac.upf
Sb 121.76 Sb.upf
Cu 63.55 Cu.upf
Li 6.94 Li.upf
ATOMIC_POSITIONS angstrom
Ac 0.0000 0.0000 0.0000
Sb 2.0414 -1.3492 9.4504
Cu 0.6805 -0.4497 3.1501
Li 1.3610 -0.8995 6.3002
CELL_PARAMETERS angstrom
-1.9493 -1.6139 4.6724
3.1294 -2.5730 3.4384
1.5418 2.3879 4.4896
```

## Properties
For the energy relative to the elements, uncorrected, the calculation gives -1.58 eV/f.u.

***

Below is crystalline Cs2GaGe2 at its relaxed geometry, with properties calculated at the PBE level. Values from VASP.

```
&SYSTEM
  ibrav = 0, nat = 10, ntyp = 3
/
ATOMIC_SPECIES
Ge 72.64 Ge.upf
Cs 132.91 Cs.upf
Ga 69.72 Ga.upf
ATOMIC_POSITIONS angstrom
Ge 2.9278 -5.1376 1.4021
Ge -5.9943 -7.7936 8.1562
Ge -1.1502 -3.2303 4.5668
Ge -1.9163 -9.7010 4.9915
Cs -2.8359 -9.5215 8.3694
Cs -0.2305 -3.4097 1.1889
Cs -2.7605 -5.9673 6.5364
Cs -0.3059 -6.9639 3.0219
Ga -3.5914 -5.1833 2.9787
Ga 0.5249 -7.7479 6.5795
CELL_PARAMETERS angstrom
-2.8445 -5.2603 -0.4950
3.6727 -5.4586 0.5328
-3.8947 -2.2123 9.5204
```

## Properties
The distance to the lowest polymorph of the same formula is 0.00 eV per formula unit. For the energy of formation, the calculation gives 0.00 eV per atom.

***

Below is crystalline Pr2ZnCu16 at its relaxed geometry, with properties calculated at the PBE level. Values from VASP.

```
&SYSTEM
  ibrav = 0, nat = 19, ntyp = 3
/
ATOMIC_SPECIES
Cu 63.55 Cu.upf
Zn 65.41 Zn.upf
Pr 140.91 Pr.upf
ATOMIC_POSITIONS angstrom
Cu 0.3514 3.2327 0.3933
Cu 4.8093 1.9241 0.7790
Cu 4.3939 1.0351 4.9171
Cu 0.2353 1.9241 4.8663
Cu 5.7665 2.2598 3.1661
Cu 1.4725 4.2673 4.9171
Cu 0.5054 4.5910 2.4710
Cu 3.2517 0.0240 0.3933
Cu 1.9381 0.0403 4.8663
Cu 2.5002 2.2598 6.0849
Cu 4.7212 4.2673 2.0141
Cu 0.7102 0.6419 0.7947
Cu 4.6186 0.0403 2.4710
Cu 2.8292 5.5095 3.1661
Cu 0.0265 0.0240 3.2753
Cu 2.3989 4.5910 0.7790
Zn 6.5238 5.8966 7.3006
Pr 4.7081 4.2554 5.2687
Pr 2.4701 2.2326 2.7643
CELL_PARAMETERS angstrom
6.5004 0.0359 0.7729
0.6906 6.4637 0.7729
0.0397 0.0359 6.5461
```

## Properties
For the energy of formation, the calculation gives -0.11 eV per atom.

***

Below is crystalline K7BiO2 at its relaxed geometry, with properties calculated at the PBE level. Values from VASP.

```
&SYSTEM
  ibrav = 0, nat = 10, ntyp = 3
/
ATOMIC_SPECIES
K 39.10 K.upf
O 16.00 O.upf
Bi 208.98 Bi.upf
ATOMIC_POSITIONS angstrom
K -3.2912 0.1159 3.8592
K -0.0337 0.9191 3.6391
K -6.5488 -0.6874 4.0794
K -4.8986 -1.3742 0.5818
K -3.6092 -1.7782 6.6191
K -0.7736 -2.9049 4.1457
K -2.9733 2.0099 1.0994
O -1.3382 -0.6088 5.5465
O -5.2442 0.8405 2.1719
Bi 0.0000 0.0000 0.0000
CELL_PARAMETERS angstrom
-0.9102 4.5108 2.9909
-7.9316 -0.2488 -2.0386
2.2594 -4.0303 6.7661
```

## Properties
For the energy relative to the elements, uncorrected, the calculation gives -7.22 eV/f.u.

***

Below is crystalline MnGeCN at its relaxed geometry, with properties calculated at the PBE level. Values from VASP.

```
&SYSTEM
  ibrav = 0, nat = 8, ntyp = 4
/
ATOMIC_SPECIES
N 14.01 N.upf
Ge 72.64 Ge.upf
Mn 54.94 Mn.upf
C 12.01 C.upf
ATOMIC_POSITIONS angstrom
N 2.1767 1.3571 1.3490
N 0.3748 0.0000 5.6728
Ge -2.7523 1.3571 8.1079
Ge -0.9504 0.0000 3.7841
Mn -0.8862 1.3571 6.2337
Mn 0.9157 0.0000 1.9098
C -0.3844 1.3571 1.3970
C -2.1862 0.0000 5.7208
CELL_PARAMETERS angstrom
3.8576 0.0000 0.0175
0.0000 2.7142 0.0000
-3.6037 0.0000 8.6477
```

## Properties
For the energy relative to the elements, uncorrected, the calculation gives 1.60 eV/f.u. The distance to the lowest polymorph of the same formula is 0.48 eV per formula unit.

***

Below is crystalline CaNd3Tl3 at its relaxed geometry, with properties calculated at the PBE level. Values from VASP.

```
&SYSTEM
  ibrav = 0, nat = 14, ntyp = 3
/
ATOMIC_SPECIES
Nd 144.24 Nd.upf
Tl 204.38 Tl.upf
Ca 40.08 Ca.upf
ATOMIC_POSITIONS angstrom
Nd 4.7887 3.0760 4.2188
Nd 0.6205 5.6575 4.2188
Nd 4.1265 6.6627 4.4443
Nd 0.3567 6.1906 0.4552
Nd 5.3834 3.0773 0.4552
Nd 1.2826 2.0708 3.9933
Tl 3.6801 0.7443 2.0827
Tl 6.3822 5.1072 6.3549
Tl 1.7291 7.9892 6.3549
Tl -0.9731 3.6263 2.0827
Tl 5.6524 9.1263 2.9025
Tl -0.2433 -0.3928 5.5350
Ca 4.1084 6.6334 0.6520
Ca 1.3007 2.1001 7.7856
CELL_PARAMETERS angstrom
7.5232 1.7520 0.4552
-1.7831 7.5159 0.4552
-0.3310 -0.5344 7.5271
```

## Properties
For the energy of formation, the calculation gives -0.27 eV per atom.

***

Total magnetization across the listed records, respectively: 5.29 0.00 0.00 0.00 0.00 0.00 0.00 0.00 0.00 0.00 0.00 0.86 μB/f.u..